(1)
An optimized crystal structure of Hf5In2H, computed with PBE-GGA.

Structure (POSCAR):
```
Hf5In2H
1.0
-5.9173 -0.3638 -2.0267
-1.0274 -4.8400 3.8435
2.2572 5.2923 2.1553
Hf In H
5 2 1
Direct
0.7504 0.2558 0.0062 Hf
0.2558 0.2558 0.0064 Hf
0.7505 0.7505 0.0061 Hf
0.2558 0.7504 0.0062 Hf
0.7556 0.7556 0.5111 Hf
0.2523 0.7523 0.5046 In
0.7523 0.2523 0.5046 In
0.0043 0.0043 0.0087 H
```

---

(2)
An optimized crystal structure of La3AlIn3, computed with PBE-GGA.

Structure (POSCAR):
```
La3AlIn3
1.0
-1.2376 -4.5274 -0.5468
3.2171 -3.8322 4.0318
-10.8212 -0.7755 10.4970
La Al In
6 2 6
Direct
0.5194 0.3458 0.6153 La
0.4806 0.6542 0.3847 La
0.2628 0.2429 0.2314 La
0.7372 0.7571 0.7686 La
0.3939 0.2890 0.9233 La
0.6061 0.7110 0.0767 La
0.7735 0.0695 0.3835 Al
0.2265 0.9305 0.6165 Al
0.8493 0.7596 0.5418 In
0.1507 0.2404 0.4582 In
0.1114 0.8548 0.9223 In
0.8886 0.1452 0.0777 In
0.9804 0.8067 0.2324 In
0.0196 0.1933 0.7676 In
```

---

(3)
PBE-GGA TcSbPt, relaxed; ΔE_f (raw) = 0.261 eV per atom
1.0
-1.5448 -3.7569 2.7083
2.4994 -0.9734 4.0793
-2.4753 3.5177 -2.3095
Pt Sb Tc
1 1 1
Direct
0.0092 0.0092 0.0000 Pt
0.3323 0.3323 0.0000 Sb
0.6585 0.6585 0.0000 Tc

---

(4)
PBE-GGA PmPa2FeN4, relaxed; ΔE_f (raw) = -1.317 eV per atom
1.0
-1.5757 -2.6038 -1.5195
5.5828 0.2247 -2.3667
3.7559 -7.0527 8.1901
Pm Pa Fe N
2 4 2 8
Direct
0.1045 0.2090 0.7500 Pm
0.8955 0.7910 0.2500 Pm
0.3679 0.7357 0.5603 Pa
0.6321 0.2643 0.0603 Pa
0.6321 0.2643 0.4397 Pa
0.3679 0.7357 0.9397 Pa
0.8424 0.6848 0.7500 Fe
0.1576 0.3152 0.2500 Fe
0.2713 0.5425 0.1179 N
0.7287 0.4575 0.6179 N
0.7287 0.4575 0.8821 N
0.2713 0.5425 0.3821 N
0.0000 0.0000 0.5000 N
0.0000 0.0000 0.0000 N
0.4447 0.8894 0.7500 N
0.5553 0.1106 0.2500 N

---

(5)
PBE-GGA La2Sb2Pb, relaxed; ΔE_f (raw) = -0.663 eV per atom
1.0
-1.3619 -3.8334 1.3907
4.0715 -1.1963 0.6894
0.8843 0.6575 9.3241
Pb Sb La
1 2 2
Direct
0.0000 0.0000 0.0000 Pb
0.7500 0.2500 0.5000 Sb
0.2500 0.7500 0.5000 Sb
0.3942 0.3942 0.2116 La
0.6058 0.6058 0.7884 La

---

(6)
An optimized crystal structure of Sc7CdAu4, computed with PBE-GGA.

Structure (POSCAR):
```
Sc7CdAu4
1.0
5.3053 0.0000 0.0000
2.6527 7.4797 0.6901
2.6527 0.8667 6.7395
Sc Cd Au
7 1 4
Direct
0.7794 0.8937 0.5475 Sc
0.2206 0.1063 0.4525 Sc
0.0591 0.6143 0.2675 Sc
0.9409 0.3857 0.7325 Sc
0.2738 0.6777 0.7748 Sc
0.5000 0.0000 0.0000 Sc
0.7262 0.3223 0.2252 Sc
0.0000 0.0000 0.0000 Cd
0.5547 0.2612 0.6294 Au
0.4453 0.7388 0.3706 Au
0.7003 0.6528 0.9466 Au
0.2997 0.3472 0.0534 Au
```

---

(7)
PBE-GGA KMg3Si4O12, relaxed; ΔE_f (raw) = -2.631 eV per atom
1.0
5.3067 0.0000 0.0000
-2.6533 4.5957 0.0000
0.0000 0.0000 30.7153
K Mg Si O
3 9 12 36
Direct
0.8650 0.4325 0.5000 K
0.5675 0.1350 0.1667 K
0.5675 0.4325 0.8333 K
0.9096 0.4548 0.0000 Mg
0.5452 0.0904 0.6667 Mg
0.5452 0.4548 0.3333 Mg
0.2500 0.1250 0.0000 Mg
0.8750 0.7500 0.6667 Mg
0.8750 0.1250 0.3333 Mg
0.5797 0.7898 0.0000 Mg
0.2102 0.4203 0.6667 Mg
0.2102 0.7898 0.3333 Mg
0.2444 0.7777 0.9099 Si
0.5332 0.7556 0.5766 Si
0.2444 0.4668 0.0901 Si
0.2223 0.4668 0.2433 Si
0.5332 0.7777 0.4234 Si
0.2223 0.7556 0.7567 Si
0.9146 0.8018 0.0901 Si
0.8872 0.0854 0.7567 Si
0.9146 0.1128 0.9099 Si
0.1982 0.1128 0.4234 Si
0.8872 0.8018 0.2433 Si
0.1982 0.0854 0.5766 Si
0.0574 0.6370 0.2229 O
0.5796 0.9426 0.8896 O
0.0574 0.4204 0.7771 O
0.3630 0.4204 0.5563 O
0.5796 0.6370 0.1104 O
0.3630 0.9426 0.4437 O
0.5799 0.1325 0.0315 O
0.5526 0.4201 0.6982 O
0.5799 0.4474 0.9685 O
0.8675 0.4474 0.3649 O
0.5526 0.1325 0.3018 O
0.8675 0.4201 0.6351 O
0.2398 0.7746 0.9622 O
0.5348 0.7602 0.6289 O
0.2398 0.4652 0.0378 O
0.2254 0.4652 0.2955 O
0.5348 0.7746 0.3711 O
0.2254 0.7602 0.7045 O
0.0782 0.6332 0.1114 O
0.5550 0.9218 0.7781 O
0.0782 0.4450 0.8886 O
0.3668 0.4450 0.4448 O
0.5550 0.6332 0.2219 O
0.3668 0.9218 0.5552 O
0.9197 0.8050 0.0378 O
0.8854 0.0803 0.7045 O
0.9197 0.1146 0.9622 O
0.1950 0.1146 0.3711 O
0.8854 0.8050 0.2955 O
0.1950 0.0803 0.6289 O
0.0529 0.9184 0.7780 O
0.8655 0.9471 0.4447 O
0.0529 0.1345 0.2220 O
0.0816 0.1345 0.1114 O
0.8655 0.9184 0.5553 O
0.0816 0.9471 0.8886 O

---

(8)
PBE-GGA Cr5Se, relaxed; ΔE_f (raw) = 0.628 eV per atom
1.0
2.3149 -4.0095 0.0000
2.3149 4.0095 0.0000
0.0000 0.0000 4.3373
Cr Se
5 1
Direct
0.3333 0.6667 0.0000 Cr
0.6667 0.3333 0.0000 Cr
0.5000 0.0000 0.5000 Cr
0.0000 0.5000 0.5000 Cr
0.5000 0.5000 0.5000 Cr
0.0000 0.0000 0.0000 Se

---

no.,uncorrected energy (eV/atom)
1,-7.317
2,-4.298
3,-6.582
4,-9.505
5,-5.024
6,-5.245
7,-6.985
8,-7.972